# 1
This record from Alexandria describes a geometry-optimized Pm2Mg2Si4Ni structure. The functional is PBE-GGA.

Symmetry = I4/mmm, No. 139
Raw formation energy = -0.3797 eV per atom
DOS at the Fermi energy = 0.25 states/eV per atom

Cell and atoms, written as POSCAR:
```
Pm2Mg2Si4Ni
1.0
-3.1644 3.1644 4.2782
3.1644 -3.1644 4.2782
3.1644 3.1644 -4.2782
Pm Mg Si Ni
2 2 4 1
direct
0.2500 0.7500 0.5000
0.7500 0.2500 0.5000
0.2042 0.2042 0.0000
0.7958 0.7958 0.0000
0.2405 0.2405 0.4810
0.2405 0.7595 0.0000
0.7595 0.2405 0.0000
0.7595 0.7595 0.5190
0.5000 0.5000 0.0000
```

***

# 2
This record from Alexandria describes a geometry-optimized PmMgSiNi structure. The functional is PBE-GGA.

Symmetry = F-43m, No. 216
Raw formation energy = -0.2718 eV per atom
DOS at the Fermi energy = 0.60 states/eV per atom

Cell and atoms, written as POSCAR:
```
PmMgSiNi
1.0
0.0000 3.3540 3.3540
3.3540 0.0000 3.3540
3.3540 3.3540 0.0000
Pm Mg Si Ni
1 1 1 1
direct
0.0000 0.0000 0.0000
0.5000 0.5000 0.5000
0.7500 0.7500 0.7500
0.2500 0.2500 0.2500
```

***

# 3
This record from Alexandria describes a geometry-optimized Pm2MgSi3Ni4 structure. The functional is PBE-GGA.

Symmetry = P-4m2, No. 115
Raw formation energy = -0.6766 eV per atom
DOS at the Fermi energy = 0.62 states/eV per atom

Cell and atoms, written as POSCAR:
```
Pm2MgSi3Ni4
1.0
4.0826 0.0000 0.0000
0.0000 4.0826 0.0000
0.0000 0.0000 9.7241
Pm Mg Si Ni
2 1 3 4
direct
0.0000 0.5000 0.2404
0.5000 0.0000 0.7596
0.0000 0.0000 0.5000
0.0000 0.5000 0.8784
0.5000 0.0000 0.1216
0.5000 0.5000 0.5000
0.0000 0.0000 0.0000
0.0000 0.5000 0.6406
0.5000 0.0000 0.3594
0.5000 0.5000 0.0000
```

***

> raw formation energy of number 3 (Pm2MgSi3Ni4)?

-0.6766 eV per atom

***

Please write out number 3 again, unchanged.
This record from Alexandria describes a geometry-optimized Pm2MgSi3Ni4 structure. The functional is PBE-GGA.

Symmetry = P-4m2, No. 115
Raw formation energy = -0.6766 eV per atom
DOS at the Fermi energy = 0.62 states/eV per atom

Cell and atoms, written as POSCAR:
```
Pm2MgSi3Ni4
1.0
4.0826 0.0000 0.0000
0.0000 4.0826 0.0000
0.0000 0.0000 9.7241
Pm Mg Si Ni
2 1 3 4
direct
0.0000 0.5000 0.2404
0.5000 0.0000 0.7596
0.0000 0.0000 0.5000
0.0000 0.5000 0.8784
0.5000 0.0000 0.1216
0.5000 0.5000 0.5000
0.0000 0.0000 0.0000
0.0000 0.5000 0.6406
0.5000 0.0000 0.3594
0.5000 0.5000 0.0000
```

***

> Which of these has the highest DOS at the Fermi energy?

Pm2MgSi3Ni4

***

What did the second record say?
This record from Alexandria describes a geometry-optimized PmMgSiNi structure. The functional is PBE-GGA.

Symmetry = F-43m, No. 216
Raw formation energy = -0.2718 eV per atom
DOS at the Fermi energy = 0.60 states/eV per atom

Cell and atoms, written as POSCAR:
```
PmMgSiNi
1.0
0.0000 3.3540 3.3540
3.3540 0.0000 3.3540
3.3540 3.3540 0.0000
Pm Mg Si Ni
1 1 1 1
direct
0.0000 0.0000 0.0000
0.5000 0.5000 0.5000
0.7500 0.7500 0.7500
0.2500 0.2500 0.2500
```